1.
This record from the Alexandria database describes HgPNO2 after structural relaxation. The functional is GGA-PBEsol.

Values from the calculation:
Its symmetry is No. 123. As for the uncorrected energy: -3.544 eV per atom. Its uncorrected formation energy is 35.33 kcal/mol of atoms. The volume is 68.1 Å³ per cell.

Structure (POSCAR):
```
HgPNO2
1.0
4.0348 0.0000 0.0000
0.0000 4.0348 0.0000
0.0000 0.0000 4.1826
Hg P N O
1 1 1 2
Direct
0.0000 0.0000 0.0000
0.5000 0.5000 0.5000
0.0000 0.0000 0.5000
0.0000 0.5000 0.0000
0.5000 0.0000 0.0000
```

---

2.
This record from the Alexandria database describes TlTcAs after structural relaxation. The functional is GGA-PBEsol.

Values from the calculation:
Its symmetry is No. 187. As for the uncorrected energy: -5.915 eV per atom. The calculation puts the formation energy at 419 meV per atom. The volume is 56.0 Å³ per cell.

Structure (POSCAR):
```
TlTcAs
1.0
4.2341 0.0000 0.0000
-2.1171 3.6669 0.0000
0.0000 0.0000 3.6073
Tl Tc As
1 1 1
Direct
0.0000 0.0000 0.0000
0.3333 0.6667 0.5000
0.6667 0.3333 0.5000
```

---

3.
This record from the Alexandria database describes BaCo2As after structural relaxation. The functional is GGA-PBEsol.

Values from the calculation:
Its symmetry is No. 6. As for the uncorrected energy: -5.729 eV per atom. The calculation puts the formation energy at -47 meV per atom. The volume is 89.5 Å³ per cell.

Structure (POSCAR):
```
BaCo2As
1.0
4.4641 0.0000 0.0000
0.0000 3.9821 0.0000
-0.7978 0.0000 5.0327
Ba Co As
1 2 1
Direct
0.0000 0.0000 0.0000
0.5405 0.0000 0.4789
0.7805 0.5000 0.4668
0.2885 0.5000 0.5526
```

---

4.
This record from the Alexandria database describes Li2CuPt after structural relaxation. The functional is GGA-PBEsol.

Values from the calculation:
Its symmetry is No. 44. As for the uncorrected energy: -4.081 eV per atom. The calculation puts the formation energy at -273 meV per atom. The volume is 49.4 Å³ per cell.

Structure (POSCAR):
```
Li2CuPt
1.0
-1.4530 2.0576 4.1279
1.4530 -2.0576 4.1279
1.4530 2.0576 -4.1279
Li Cu Pt
2 1 1
Direct
0.0000 0.0000 0.0000
0.7531 0.2531 0.5000
0.5121 0.5121 0.0000
0.2548 0.7548 0.5000
```